(1)
Entry from Alexandria via LeMat-Bulk: LaOs3 after structural relaxation (GGA-PBEsol).

extended XYZ file:
```
4
Lattice="4.8612 0.0000 0.0000 0.0000 4.8612 0.0000 0.0000 0.0000 4.8612" Properties=species:S:1:pos:R:3 pbc="T T T"
Os 0.0000 2.4306 0.0000
Os 0.0000 0.0000 2.4306
La 0.0000 0.0000 0.0000
Os 2.4306 0.0000 0.0000
```

Output
For the mass density, the calculation gives 10.26 Mg/m³. Its final energy is -25.58 eV/f.u. The calculation puts the formation energy at 4.10 eV/atom. As for the space group: Pm-3m, No. 221. Its total magnetic moment is 3.57 μB/cell.

=====

(2)
Entry from Alexandria via LeMat-Bulk: La4Os after structural relaxation (GGA-PBEsol).

extended XYZ file:
```
5
Lattice="5.9069 0.0000 0.0000 -1.9690 5.5691 0.0000 -1.9690 -2.7845 4.8230" Properties=species:S:1:pos:R:3 pbc="T T T"
La 0.9845 1.3923 2.4115
La -0.9845 2.7845 0.0000
La -0.9845 -1.3923 2.4115
Os 0.0000 0.0000 0.0000
La 2.9534 0.0000 0.0000
```

Output
For the mass density, the calculation gives 7.81 Mg/m³. Its final energy is -32.68 eV/f.u. The calculation puts the formation energy at 0.18 eV/atom. As for the space group: Im-3m, No. 229. Its relative energy among the computed polymorphs is 182 meV per atom. Its total magnetic moment is 0.00 μB/cell.

=====

(3)
Entry from Alexandria via LeMat-Bulk: LaOs after structural relaxation (GGA-PBEsol).

extended XYZ file:
```
4
Lattice="3.4136 0.0000 0.0000 -1.7068 2.9563 0.0000 0.0000 0.0000 8.7188" Properties=species:S:1:pos:R:3 pbc="T T T"
Os 1.7068 0.9854 6.5391
Os 0.0000 1.9708 2.1797
La 0.0000 0.0000 4.3594
La 0.0000 0.0000 0.0000
```

Output
For the mass density, the calculation gives 12.42 Mg/m³. Its final energy is -16.20 eV/f.u. The calculation puts the formation energy at 0.68 eV/atom. As for the space group: P6_3/mmc, No. 194. Its total magnetic moment is 0.00 μB/cell.

=====

(4)
Entry from Alexandria via LeMat-Bulk: LaOs after structural relaxation (GGA-PBEsol).

extended XYZ file:
```
4
Lattice="4.8816 0.0000 0.0000 0.0000 4.8846 0.0000 0.0000 -2.4423 4.2302" Properties=species:S:1:pos:R:3 pbc="T T T"
Os 2.4408 0.0000 0.0000
La 1.2204 0.0000 2.8201
Os 0.0000 0.0000 0.0000
La 3.6612 2.4423 1.4101
```

Output
For the mass density, the calculation gives 10.84 Mg/m³. Its final energy is -17.62 eV/f.u. The calculation puts the formation energy at -0.03 eV/atom. As for the space group: P6_3/mmc, No. 194. Its total magnetic moment is 0.00 μB/cell.

=====

(5)
Entry from Alexandria via LeMat-Bulk: LaOs after structural relaxation (GGA-PBEsol).

extended XYZ file:
```
4
Lattice="4.2666 0.0000 0.0000 2.1333 3.6950 0.0000 2.1333 1.2317 6.3992" Properties=species:S:1:pos:R:3 pbc="T T T"
Os 6.3999 3.6950 6.2053
La 6.3999 3.6950 1.9187
La 2.1333 1.2317 4.4805
Os 2.1333 1.2317 0.1939
```

Output
For the mass density, the calculation gives 10.84 Mg/m³. Its final energy is -17.49 eV/f.u. The calculation puts the formation energy at 0.03 eV/atom. As for the space group: R-3m, No. 166. Its total magnetic moment is 0.00 μB/cell.

=====

(6)
Entry from Alexandria via LeMat-Bulk: LaOs after structural relaxation (GGA-PBEsol).

extended XYZ file:
```
4
Lattice="4.7872 0.0637 0.0463 2.1966 4.2540 0.0463 2.1966 1.3580 4.0316" Properties=species:S:1:pos:R:3 pbc="T T T"
Os 8.1160 5.0177 3.6461
Os 1.0644 0.6581 0.4782
La 3.4199 2.1143 1.5363
La 5.7606 3.5614 2.5879
```

Output
For the mass density, the calculation gives 13.50 Mg/m³. Its final energy is -16.72 eV/f.u. The calculation puts the formation energy at 0.42 eV/atom. As for the space group: R-3m, No. 166. Its total magnetic moment is 0.00 μB/cell.

=====

(7)
Entry from Alexandria via LeMat-Bulk: La3Os after structural relaxation (GGA-PBEsol).

extended XYZ file:
```
4
Lattice="4.6592 0.0000 0.0000 0.0000 4.6592 0.0000 0.0000 0.0000 4.6592" Properties=species:S:1:pos:R:3 pbc="T T T"
La 0.0000 2.3296 0.0000
Os 2.3296 2.3296 2.3296
La 2.3296 0.0000 0.0000
La 0.0000 0.0000 2.3296
```

Output
For the mass density, the calculation gives 9.96 Mg/m³. Its final energy is -27.19 eV/f.u. The calculation puts the formation energy at 0.27 eV/atom. As for the space group: Pm-3m, No. 221. Its total magnetic moment is 0.00 μB/cell.

=====

(8)
Entry from Alexandria via LeMat-Bulk: LaOs3 after structural relaxation (GGA-PBEsol).

extended XYZ file:
```
4
Lattice="-2.3989 0.6273 1.4511 -1.5763 -0.7472 -2.2828 -0.3478 -7.7658 2.7821" Properties=species:S:1:pos:R:3 pbc="T T T"
Os -2.2328 -5.5362 1.5461
Os -0.1739 -3.8829 1.3911
La 0.0000 0.0000 0.0000
Os -2.0901 -2.3495 0.4044
```

Output
For the mass density, the calculation gives 17.29 Mg/m³. Its final energy is -40.45 eV/f.u. The calculation puts the formation energy at 0.39 eV/atom. As for the space group: P4/mmm, No. 123. Its total magnetic moment is 0.00 μB/cell.

=====

(9)
Entry from Alexandria via LeMat-Bulk: La3Os after structural relaxation (GGA-PBEsol).

extended XYZ file:
```
4
Lattice="3.4827 0.0000 0.0000 0.0000 3.4827 0.0000 0.0000 0.0000 9.6037" Properties=species:S:1:pos:R:3 pbc="T T T"
La 0.0000 0.0000 6.5359
La 1.7414 1.7414 0.0000
La 0.0000 0.0000 3.0678
Os 1.7414 1.7414 4.8019
```

Output
For the mass density, the calculation gives 8.65 Mg/m³. Its final energy is -27.91 eV/f.u. The calculation puts the formation energy at 0.09 eV/atom. As for the space group: P4/mmm, No. 123. Its total magnetic moment is 0.00 μB/cell.

=====

(10)
Entry from Alexandria via LeMat-Bulk: La3Os after structural relaxation (GGA-PBEsol).

extended XYZ file:
```
16
Lattice="6.4498 0.0000 0.0000 0.0000 7.3577 0.0000 0.0000 0.0000 9.8151" Properties=species:S:1:pos:R:3 pbc="T T T"
La 4.3252 6.0837 5.5698
Os 3.6081 0.8542 7.3613
Os 6.0665 4.5331 7.3613
La 2.1245 1.2741 4.2453
La 4.1793 4.0089 2.4538
La 1.1003 4.9529 4.2453
La 5.4954 0.3301 2.4538
La 1.1003 4.9529 0.6623
La 5.3494 2.4048 9.1528
Os 0.3832 2.8246 2.4538
La 2.1245 1.2741 0.6623
Os 2.8417 6.5035 2.4538
La 0.9544 7.0277 7.3613
La 4.3252 6.0837 9.1528
La 5.3494 2.4048 5.5698
La 2.2705 3.3488 7.3613
```

Output
For the mass density, the calculation gives 8.66 Mg/m³. Its final energy is -28.72 eV/f.u. The calculation puts the formation energy at -0.12 eV/atom. As for the space group: Pnma, No. 62. Its total magnetic moment is 0.00 μB/cell.

=====

(11)
Entry from Alexandria via LeMat-Bulk: LaPOs2 after structural relaxation (GGA-PBEsol).

extended XYZ file:
```
4
Lattice="-1.6276 2.5114 -0.2843 -1.5344 -0.7131 2.4848 4.9697 3.6881 4.1272" Properties=species:S:1:pos:R:3 pbc="T T T"
P 2.1798 1.6177 1.8103
Os 0.2034 0.1509 0.1689
Os -0.2136 1.9140 2.2359
La 2.1229 3.6479 4.1762
```

Output
For the mass density, the calculation gives 13.59 Mg/m³. Its final energy is -35.52 eV/f.u. The calculation puts the formation energy at 0.01 eV/atom. As for the space group: P4mm, No. 99. Its total magnetic moment is 0.00 μB/cell.

=====

(12)
Entry from Alexandria via LeMat-Bulk: La2POs after structural relaxation (GGA-PBEsol).

extended XYZ file:
```
4
Lattice="4.1771 0.0000 0.0000 0.0000 4.1771 0.0000 -2.0885 -2.0885 4.9484" Properties=species:S:1:pos:R:3 pbc="T T T"
La 2.0885 0.0000 2.4742
Os 2.0885 2.0885 0.0000
La 0.0000 0.0000 0.0000
P 0.0000 2.0885 2.4742
```

Output
For the mass density, the calculation gives 9.60 Mg/m³. Its final energy is -29.63 eV/f.u. The calculation puts the formation energy at -0.23 eV/atom. As for the space group: I-4m2, No. 119. Its total magnetic moment is 0.01 μB/cell.

=====

(13)
Entry from Alexandria via LeMat-Bulk: LaPOs2 after structural relaxation (GGA-PBEsol).

extended XYZ file:
```
4
Lattice="-2.4391 1.5888 -0.4302 0.7471 -1.9005 -2.1186 -4.7058 -6.1738 3.8789" Properties=species:S:1:pos:R:3 pbc="T T T"
Os -1.4243 -1.8687 1.1741
Os -3.2814 -4.3051 2.7049
P -3.1989 -3.2428 0.6651
La -0.8460 -0.1558 -1.2744
```

Output
For the mass density, the calculation gives 13.65 Mg/m³. Its final energy is -33.76 eV/f.u. The calculation puts the formation energy at 0.45 eV/atom. As for the space group: Cmmm, No. 65. Its total magnetic moment is 0.00 μB/cell.

=====

(14)
Entry from Alexandria via LeMat-Bulk: LaPOs2 after structural relaxation (GGA-PBEsol).

extended XYZ file:
```
4
Lattice="-2.1654 1.9074 0.8884 -1.6388 -3.3992 3.3034 4.7285 2.4735 1.0840" Properties=species:S:1:pos:R:3 pbc="T T T"
P -1.7155 -0.6318 2.3058
Os 0.7576 0.8799 5.0883
La 0.4112 1.8669 2.1250
Os 0.4931 -0.8973 3.1284
```

Output
For the mass density, the calculation gives 13.14 Mg/m³. Its final energy is -34.48 eV/f.u. The calculation puts the formation energy at 0.27 eV/atom. As for the space group: Imm2, No. 44. Its total magnetic moment is 0.00 μB/cell.

=====

(15)
Entry from Alexandria via LeMat-Bulk: LaPOs2 after structural relaxation (GGA-PBEsol).

extended XYZ file:
```
4
Lattice="-2.0985 -2.3066 2.7887 3.1241 -2.7818 0.0500 1.1662 4.4813 1.4463" Properties=species:S:1:pos:R:3 pbc="T T T"
Os -0.2097 -0.1847 2.8272
Os 2.4015 -0.4223 1.4578
La 0.0000 0.0000 0.0000
P 0.5128 -2.5442 1.4194
```

Output
For the mass density, the calculation gives 13.58 Mg/m³. Its final energy is -33.36 eV/f.u. The calculation puts the formation energy at 0.55 eV/atom. As for the space group: I4/mmm, No. 139. Its total magnetic moment is 0.00 μB/cell.

=====

(16)
Entry from Alexandria via LeMat-Bulk: La2POsRh after structural relaxation (GGA-PBEsol).

extended XYZ file:
```
5
Lattice="-0.8770 1.8078 3.7151 -2.0741 -4.7303 1.8122 4.9364 -1.4481 1.8700" Properties=species:S:1:pos:R:3 pbc="T T T"
La 2.4682 -0.7240 0.9350
Os -0.4385 0.9039 1.8576
Rh 0.9927 -2.1853 3.6987
P 0.0000 0.0000 0.0000
La -1.0371 -2.3652 0.9061
```

Output
For the mass density, the calculation gives 7.90 Mg/m³. Its final energy is -36.72 eV/f.u. The calculation puts the formation energy at 0.02 eV/atom. As for the space group: P4/mmm, No. 123. Its total magnetic moment is 0.00 μB/cell.

=====

(17)
Entry from Alexandria via LeMat-Bulk: La3OsPb after structural relaxation (GGA-PBEsol).

extended XYZ file:
```
5
Lattice="-4.2676 2.7769 -1.9649 1.9426 -0.5985 -5.0649 -2.7926 -4.6600 -0.5205" Properties=species:S:1:pos:R:3 pbc="T T T"
La 0.9713 -0.2992 -2.5324
La -2.1338 1.3885 -0.9825
Pb -2.5588 -1.2407 -3.7751
Os 0.0000 0.0000 0.0000
La -1.3963 -2.3300 -0.2602
```

Output
For the mass density, the calculation gives 8.32 Mg/m³. Its final energy is -33.51 eV/f.u. The calculation puts the formation energy at -0.25 eV/atom. As for the space group: Pm-3m, No. 221. Its relative energy among the computed polymorphs is 71 meV per atom. Its total magnetic moment is 0.00 μB/cell.

=====

(18)
Entry from Alexandria via LeMat-Bulk: La3OsPb after structural relaxation (GGA-PBEsol).

extended XYZ file:
```
10
Lattice="4.7586 0.0000 0.0000 0.0000 8.2489 0.0049 0.0000 -3.9969 7.6452" Properties=species:S:1:pos:R:3 pbc="T T T"
La 2.3793 6.0320 0.0739
La 2.3793 1.2989 3.3120
Pb 0.0000 3.0245 5.3306
La 0.0000 3.9632 2.1653
La 0.0000 -0.1607 5.5171
La 0.0000 -2.8464 7.5678
Os 2.3793 -1.3919 6.4212
La 2.3793 5.3426 4.2858
Os 2.3793 3.2827 1.1975
Pb 0.0000 -1.0258 2.3403
```

Output
For the mass density, the calculation gives 9.01 Mg/m³. Its final energy is -33.87 eV/f.u. The calculation puts the formation energy at -0.32 eV/atom. As for the space group: Pm, No. 6. Its relative energy among the computed polymorphs is 0 meV per atom. Its total magnetic moment is 0.00 μB/cell.

=====

(19)
Entry from Alexandria via LeMat-Bulk: LaSiOs2Pb after structural relaxation (GGA-PBEsol).

extended XYZ file:
```
5
Lattice="-0.7019 -0.9273 -4.8313 4.9161 0.0498 -0.7237 0.1845 -4.9091 0.9155" Properties=species:S:1:pos:R:3 pbc="T T T"
Pb 0.0000 0.0000 0.0000
Os -0.3509 -0.4637 -2.4157
La 2.1993 -2.8933 -2.3198
Os 2.4580 0.0249 -0.3619
Si 0.0922 -2.4546 0.4577
```

Output
For the mass density, the calculation gives 10.15 Mg/m³. Its final energy is -31.11 eV/f.u. As for the space group: P4/mmm, No. 123. For the uncorrected formation energy, the calculation gives 1.683 eV/atom. Its total magnetic moment is 0.00 μB/cell.

=====

(20)
Entry from Alexandria via LeMat-Bulk: LaOs2Pt after structural relaxation (GGA-PBEsol).

extended XYZ file:
```
4
Lattice="2.8266 0.0000 0.0000 1.4133 2.4479 0.0000 1.4133 0.8160 9.8326" Properties=species:S:1:pos:R:3 pbc="T T T"
Pt 2.8266 1.6319 5.1852
La 1.4133 0.8160 2.4569
Os 1.4133 0.8160 9.4810
Os 4.2399 2.4479 7.4584
```

Output
For the mass density, the calculation gives 17.44 Mg/m³. Its final energy is -35.34 eV/f.u. The calculation puts the formation energy at 0.35 eV/atom. As for the space group: R3m, No. 160. Its relative energy among the computed polymorphs is 0 meV per atom. Its total magnetic moment is 0.00 μB/cell.